La3CePm2As6: optimized geometry, PBE.

a = 7.449 Å, b = 12.901 Å, c = 7.462 Å
α = 90.00°, β = 109.43°, γ = 90.00°
Space group C2/m (No. 12)
Inequivalent atoms, fractional coordinates:
La  0.000  0.000  0.000
La  0.000  0.333  0.000
Ce  0.000  0.500  0.500
Pm  0.000  0.166  0.500
As  0.246  0.335  0.742
As  0.249  0.500  0.258

Summary:
Formation energy: -18.5 eV per formula unit

---

La4CePm3As8: optimized geometry, PBE.

a = 8.6084 Å, b = 8.6084 Å, c = 21.1148 Å
α = 90.00°, β = 90.00°, γ = 120.00°
Space group R-3m (No. 166, hexagonal axes)
Inequivalent atoms, fractional coordinates:
La  0.0000  0.0000  0.0000
La  0.0000  0.5000  0.0000
Ce  0.0000  0.0000  0.5000
Pm  0.0000  0.5000  0.5000
As  0.0000  0.0000  0.2481
As  0.0023  0.5011  0.2473

Summary:
Formation energy: -24.6 eV per formula unit

---

La3Ce2PmAs6: optimized geometry, PBE.

a = 7.443 Å, b = 12.891 Å, c = 7.457 Å
α = 90.00°, β = 109.43°, γ = 90.00°
Space group C2/m (No. 12)
Inequivalent atoms, fractional coordinates:
La  0.000  0.000  0.000
La  0.000  0.334  0.000
Ce  0.000  0.167  0.500
Pm  0.000  0.500  0.500
As  0.244  0.000  0.741
As  0.248  0.332  0.740

Summary:
Formation energy: -18.2 eV per formula unit

---

La3CePr2As6: optimized geometry, PBE.

a = 7.492 Å, b = 12.974 Å, c = 7.500 Å
α = 90.00°, β = 109.44°, γ = 90.00°
Space group C2/m (No. 12)
Inequivalent atoms, fractional coordinates:
La  0.000  0.000  0.000
La  0.000  0.332  0.000
Ce  0.000  0.500  0.500
Pr  0.000  0.166  0.500
As  0.245  0.336  0.745
As  0.246  0.500  0.255

Summary:
Formation energy: -18.4 eV per formula unit